# 1
First-principles (GGA-PBE) data for a relaxed structure of Ba3EuCl, as listed in Alexandria.

Values from the calculation:
magnetic moment: 8.890 μB per formula unit
crystal system: cubic
D(E_F): 18.19 states/eV/f.u.
volume: 255 Å³/f.u.
uncorrected formation energy: -0.633 eV per atom
theoretical density: 3.91 g cm⁻³

Cell: 6.3394 6.3394 6.3394 Å, 90.00 90.00 90.00°
Last column: nearest neighbours and their distance in Å.
Fractional positions:
Ba 0.5000 0.0000 0.0000  2 Cl 3.17
Cl 0.0000 0.0000 0.0000  6 Ba 3.17
Ba 0.0000 0.0000 0.5000  2 Cl 3.17
Ba 0.0000 0.5000 0.0000  2 Cl 3.17
Eu 0.5000 0.5000 0.5000  12 Ba 4.48

***

# 2
First-principles (GGA-PBE) data for a relaxed structure of Ba2EuCl, as listed in Alexandria.

Values from the calculation:
magnetic moment: 8.062 μB per formula unit
crystal system: trigonal
D(E_F): 13.20 states/eV/f.u.
volume: 183 Å³/f.u.
uncorrected formation energy: -0.828 eV per atom
theoretical density: 4.19 g cm⁻³

Cell: 4.3181 4.3181 11.6142 Å, 79.29 79.29 60.00°
Last column: nearest neighbours and their distance in Å.
Fractional positions:
Ba 0.7327 0.7327 0.8019  3 Cl 3.36
Ba 0.2673 0.2673 0.1981  3 Cl 3.36
Eu 0.5000 0.5000 0.5000  6 Ba 4.24, 6 Eu 4.32
Cl 0.0000 0.0000 0.0000  6 Ba 3.36

***

# 3
First-principles (GGA-PBE) data for a relaxed structure of BaEuCl2, as listed in Alexandria.

Values from the calculation:
magnetic moment: 7.370 μB per formula unit
crystal system: trigonal
D(E_F): 1.85 states/eV/f.u.
volume: 165 Å³/f.u.
uncorrected formation energy: -1.695 eV per atom
theoretical density: 3.64 g cm⁻³

Cell: 4.7097 4.7097 8.9859 Å, 74.81 74.81 60.00°
Last column: nearest neighbours and their distance in Å.
Fractional positions:
Eu 0.5000 0.5000 0.5000  6 Cl 2.96
Ba 0.0000 0.0000 0.0000  2 Cl 3.11
Cl 0.8789 0.8789 0.3632  3 Eu 2.96, 1 Ba 3.11
Cl 0.1211 0.1211 0.6368  3 Eu 2.96, 1 Ba 3.11